No. 1
Here is crystalline NdHfAl at its relaxed geometry from the Open Quantum Materials Database. Energies are from PBE-GGA.

Cell lengths 4.9186, 4.9186, 4.9186 Å; angles 60.00, 60.00, 60.00 degrees
Closest atoms and distances in Å follow each position.
Sites, in units of the cell vectors:
1 Al 0.2500 0.2500 0.2500  4 Hf 3.01
2 Nd 0.7500 0.7500 0.7500  4 Hf 3.01
3 Hf 0.0000 0.0000 0.0000  4 Nd 3.01, 4 Al 3.01

total DFT energy (no corrections) = -16.4 eV per cell
SG = F-43m
mass density = 6.902 g/cm³

=====

No. 2
Here is crystalline TcTe2 at its relaxed geometry from the Open Quantum Materials Database. Energies are from PBE-GGA.

Cell lengths 8.7837, 3.7871, 11.7205 Å; angles 90.00, 131.69, 90.00 degrees
Closest atoms and distances in Å follow each position.
Sites, in units of the cell vectors:
1 Te 0.5856 0.9995 0.1791  3 Tc 2.71
2 Te 0.4206 0.5019 0.3245  3 Tc 2.71
3 Te 0.0855 0.4981 0.9291  3 Tc 2.71
4 Te 0.9205 0.9995 0.0745  3 Tc 2.71
5 Te 0.5856 0.0005 0.6791  3 Tc 2.71
6 Te 0.4206 0.4981 0.8245  3 Tc 2.71
7 Te 0.0855 0.5019 0.4291  3 Tc 2.71
8 Te 0.9205 0.0005 0.5745  3 Tc 2.71
9 Tc 0.7531 0.5006 0.6268  6 Te 2.71
10 Tc 0.2530 0.9979 0.8768  6 Te 2.71
11 Tc 0.7531 0.4994 0.1268  6 Te 2.71
12 Tc 0.2530 0.0021 0.3768  6 Te 2.71

total DFT energy (no corrections) = -66.2 eV per cell
SG = P2/c
mass density = 8.057 g/cm³

=====

No. 3
Here is crystalline Cs2TcSb2 at its relaxed geometry from the Open Quantum Materials Database. Energies are from PBE-GGA.

Cell lengths 9.2051, 9.2051, 6.1400 Å; angles 90.00, 90.00, 130.34 degrees
Closest atoms and distances in Å follow each position.
Sites, in units of the cell vectors:
1 Sb 0.9100 0.7064 0.7500  2 Tc 2.73, 1 Sb 2.97
2 Sb 0.0900 0.2936 0.2500  2 Tc 2.73, 1 Sb 2.97
3 Sb 0.2936 0.0900 0.7500  2 Tc 2.73, 1 Sb 2.97
4 Sb 0.7064 0.9100 0.2500  2 Tc 2.73, 1 Sb 2.97
5 Cs 0.2110 0.7890 0.2500  2 Tc 3.84, 6 Sb 3.87-3.93
6 Cs 0.5945 0.4055 0.2500  6 Sb 3.89-4.05, 2 Cs 4.33
7 Cs 0.7890 0.2110 0.7500  2 Tc 3.84, 6 Sb 3.87-3.93
8 Cs 0.4055 0.5945 0.7500  6 Sb 3.89-4.05, 2 Cs 4.33
9 Tc 0.0000 0.0000 0.0000  4 Sb 2.73
10 Tc 0.0000 0.0000 0.5000  4 Sb 2.73

total DFT energy (no corrections) = -40.8 eV per cell
SG = Cmcm
mass density = 5.086 g/cm³